First-principles (PBE with a Hubbard U) data for Sr2YMnCu2O7 after structural relaxation, as listed in Alexandria via LeMat-Bulk.

abc: 12.394 12.394 12.394
angles: 36.12 154.67 154.68
Sites, in units of the cell vectors:
1 Sr 0.007 0.149 0.156
2 Sr 0.007 0.351 0.358
3 Sr 0.993 0.649 0.642
4 Sr 0.993 0.851 0.844
5 Y 0.003 0.003 0.000
6 Y 0.003 0.503 0.500
7 Mn 0.480 0.796 0.184
8 Mn 0.612 0.296 0.816
9 Cu 0.502 0.574 0.071
10 Cu 0.502 0.931 0.428
11 Cu 0.503 0.074 0.572
12 Cu 0.503 0.431 0.929
13 O 0.003 0.193 0.686
14 O 0.003 0.313 0.814
15 O 0.003 0.689 0.190
16 O 0.003 0.817 0.310
17 O 0.489 0.170 0.664
18 O 0.489 0.325 0.820
19 O 0.499 0.189 0.186
20 O 0.499 0.813 0.810
21 O 0.505 0.670 0.180
22 O 0.505 0.825 0.336
23 O 0.507 0.317 0.314
24 O 0.507 0.693 0.690
25 O 0.815 0.154 0.161
26 O 0.993 0.654 0.839

Output
space group	Ima2, No. 46
M_tot	7.961	μB/cell
total energy	-6.651	eV/atom